# GGA+U CsDyCoF6, relaxed
data_CsDyCoF6
_cell_length_a 7.8128
_cell_length_b 7.5313
_cell_length_c 7.5288
_cell_angle_alpha 120.01
_cell_angle_beta 121.26
_cell_angle_gamma 90.00
_symmetry_space_group_name_H-M 'P 1'
_symmetry_Int_Tables_number 1
_symmetry_space_group_name_Hall 'P 1'
loop_
_atom_site_label
_atom_site_type_symbol
_atom_site_fract_x
_atom_site_fract_y
_atom_site_fract_z
F1 F 0.1721 0.3659 0.7320
Dy1 Dy 0.5000 0.0000 0.5000
F2 F 0.1721 0.8661 0.7320
Cs1 Cs 0.1526 0.4026 0.3053
F3 F 0.4401 0.1339 0.2680
F4 F 0.1490 0.8990 0.2981
F5 F 0.4401 0.6341 0.2680
Co1 Co 0.5000 0.0000 0.0000
F6 F 0.8510 0.1010 0.7019
Co2 Co 0.5000 0.5000 0.0000
F7 F 0.8279 0.1339 0.2680
F8 F 0.5793 0.8293 0.1585
F9 F 0.5599 0.3659 0.7320
F10 F 0.4207 0.1707 0.8415
F11 F 0.5599 0.8661 0.7320
F12 F 0.8279 0.6341 0.2680
Dy2 Dy 0.0000 0.0000 0.5000
Cs2 Cs 0.8474 0.5974 0.6947
# **SG**: No. 74
# **Energy**: -5.5674 eV per atom
# **Magnetization**: 3.0 μB/f.u.